CaP2Rh | PBE | optimized geometry

```
4
Lattice="4.3419 -1.7298 0.0000 4.3419 1.7298 0.0000 -1.4279 0.0000 4.8891" Properties=species:S:1:pos:R:3 pbc="T T T"
Ca 0.0000 0.0000 0.0000
P 0.9721 0.0000 3.2549
P 3.6309 0.0000 2.4438
Rh 6.1763 0.0000 1.9692
```

Results
**Crystal system**: monoclinic
**VASP energy**: -5.567 eV/atom
**Total magnetic moment**: 0.000 μB/f.u.
**Energy of formation**: -0.52 eV per atom
**Calculated volume**: 73.44 Å³/cell
**Energy above the most stable polymorph in this dataset**: 299 meV/atom